1.
# PBE-GGA LaGa12Co6, optimized geometry
# ΔH_f (0 K) = -0.281 eV per atom
# DOS at the Fermi energy = 26.09 states/eV per cell
# Total magnetization = 0.0 μB per formula unit
# Energy = -4.696 eV/atom
data_LaGa12Co6
_chemical_formula_sum 'La3 Ga36 Co18'
_cell_length_a 11.0176
_cell_length_b 11.0176
_cell_length_c 8.3957
_cell_angle_alpha 90.00
_cell_angle_beta 90.00
_cell_angle_gamma 120.00
_symmetry_space_group_name_H-M 'R -3 m'
_symmetry_Int_Tables_number 166
_symmetry_space_group_name_Hall '-R 3 2"'
loop_
_atom_site_label
_atom_site_type_symbol
_atom_site_fract_x
_atom_site_fract_y
_atom_site_fract_z
La1 La 0.0000 0.0000 0.0000
Ga1 Ga 0.0000 0.3812 0.5000
Ga2 Ga 0.0900 0.1800 0.3293
Co1 Co 0.0557 0.5279 0.2578


2.
# PBE-GGA La8Ga2Co, optimized geometry
# ΔH_f (0 K) = -0.233 eV per atom
# DOS at the Fermi energy = 23.06 states/eV per cell
# Total magnetization = 0.0 μB per formula unit
# Energy = -5.013 eV/atom
data_La8Ga2Co
_chemical_formula_sum 'La16 Ga4 Co2'
_cell_length_a 18.752
_cell_length_b 5.375
_cell_length_c 6.809
_cell_angle_alpha 90.00
_cell_angle_beta 110.41
_cell_angle_gamma 90.00
_symmetry_space_group_name_H-M 'C 1 2/m 1'
_symmetry_Int_Tables_number 12
loop_
_symmetry_equiv_pos_as_xyz
'x,y,z'
'-x,-y,-z'
'-x,y,-z'
'x,-y,z'
'x+1/2,y+1/2,z'
'-x+1/2,-y+1/2,-z'
'-x+1/2,y+1/2,-z'
'x+1/2,-y+1/2,z'
loop_
_atom_site_label
_atom_site_type_symbol
_atom_site_fract_x
_atom_site_fract_y
_atom_site_fract_z
La1 La 0.010 0.000 0.291
La2 La 0.088 0.500 0.903
La3 La 0.153 0.500 0.437
La4 La 0.214 0.000 0.768
Ga1 Ga 0.174 0.000 0.194
Co1 Co 0.000 0.500 0.500


3.
# PBE-GGA LaGa2Co3, optimized geometry
# ΔH_f (0 K) = -0.341 eV per atom
# DOS at the Fermi energy = 17.94 states/eV per cell
# Total magnetization = 0.6 μB per formula unit
# Energy = -5.724 eV/atom
data_LaGa2Co3
_chemical_formula_sum 'La3 Ga6 Co9'
_cell_length_a 9.1948
_cell_length_b 9.1948
_cell_length_c 3.8320
_cell_angle_alpha 90.00
_cell_angle_beta 90.00
_cell_angle_gamma 120.00
_symmetry_space_group_name_H-M 'P 6/m m m'
_symmetry_Int_Tables_number 191
_symmetry_space_group_name_Hall '-P 6 2'
loop_
_atom_site_label
_atom_site_type_symbol
_atom_site_fract_x
_atom_site_fract_y
_atom_site_fract_z
La1 La 0.0000 0.0000 0.0000
La2 La 0.3333 0.6667 0.5000
Ga1 Ga 0.0000 0.3184 0.5000
Co1 Co 0.0000 0.5000 0.0000
Co2 Co 0.1802 0.3604 0.0000


4.
# PBE-GGA LaGa2Co2, optimized geometry
# ΔH_f (0 K) = -0.160 eV per atom
# DOS at the Fermi energy = 7.43 states/eV per cell
# Total magnetization = 0.0 μB per formula unit
# Energy = -5.198 eV/atom
data_LaGa2Co2
_chemical_formula_sum 'La2 Ga4 Co4'
_cell_length_a 7.396
_cell_length_b 7.396
_cell_length_c 2.913
_cell_angle_alpha 90.00
_cell_angle_beta 90.00
_cell_angle_gamma 90.00
_symmetry_space_group_name_H-M 'P 4/m b m'
_symmetry_Int_Tables_number 127
_symmetry_space_group_name_Hall '-P 4 2ab'
loop_
_atom_site_label
_atom_site_type_symbol
_atom_site_fract_x
_atom_site_fract_y
_atom_site_fract_z
La1 La 0.000 0.000 0.000
Ga1 Ga 0.130 0.370 0.500
Co1 Co 0.161 0.661 0.000


What did the fourth record say?
# PBE-GGA LaGa2Co2, optimized geometry
# ΔH_f (0 K) = -0.160 eV per atom
# DOS at the Fermi energy = 7.43 states/eV per cell
# Total magnetization = 0.0 μB per formula unit
# Energy = -5.198 eV/atom
data_LaGa2Co2
_chemical_formula_sum 'La2 Ga4 Co4'
_cell_length_a 7.396
_cell_length_b 7.396
_cell_length_c 2.913
_cell_angle_alpha 90.00
_cell_angle_beta 90.00
_cell_angle_gamma 90.00
_symmetry_space_group_name_H-M 'P 4/m b m'
_symmetry_Int_Tables_number 127
_symmetry_space_group_name_Hall '-P 4 2ab'
loop_
_atom_site_label
_atom_site_type_symbol
_atom_site_fract_x
_atom_site_fract_y
_atom_site_fract_z
La1 La 0.000 0.000 0.000
Ga1 Ga 0.130 0.370 0.500
Co1 Co 0.161 0.661 0.000